(1)
Computed, not measured: a geometry-optimized Tb2NdIn3Pt2Au structure at the PBE level of DFT.

abc: 3.8973 7.8142 7.8142
angles: 120.26 90.00 90.00
Fractional coordinates of all 9 atoms:
Au1 0.0000 0.0019 0.0019
In1 0.5000 0.7338 0.0020
In2 0.5000 0.2649 0.2649
In3 0.5000 0.0020 0.7338
Nd1 0.0000 0.5914 0.5914
Pt1 0.5000 0.6685 0.3289
Pt2 0.5000 0.3289 0.6685
Tb1 0.0000 0.9997 0.4088
Tb2 0.0000 0.4088 0.9997

Calculated values
Size of the total moment, μB per formula unit: 0.00
Symmetry: Amm2, No. 38



(2)
Computed, not measured: a geometry-optimized NdAlAsO structure at the PBE level of DFT.

abc: 3.9836 4.6674 7.3486
angles: 90.00 90.00 90.00
Fractional coordinates of all 8 atoms:
Al1 0.0000 0.3000 0.4380
Al2 0.0000 0.7000 0.9380
As1 0.0000 0.7942 0.2798
As2 0.0000 0.2058 0.7798
Nd1 0.5000 0.2001 0.0969
Nd2 0.5000 0.7999 0.5969
O1 0.5000 0.3020 0.4394
O2 0.5000 0.6980 0.9394

Calculated values
Size of the total moment, μB per formula unit: 0.00
Symmetry: Pmc2_1, No. 26



(3)
Computed, not measured: a geometry-optimized RbReO3 structure at the PBE level of DFT.

abc: 5.2525 8.0932 8.4689
angles: 113.11 94.38 95.84
Fractional coordinates of all 20 atoms:
O1 0.7415 0.9345 0.0107
O2 0.2133 0.7828 0.0493
O3 0.1504 0.4453 0.2242
O4 0.7088 0.2184 0.2706
O5 0.1953 0.1227 0.2959
O6 0.5975 0.8767 0.3184
O7 0.4025 0.1233 0.6816
O8 0.8047 0.8773 0.7041
O9 0.2912 0.7816 0.7294
O10 0.8496 0.5547 0.7758
O11 0.7867 0.2172 0.9507
O12 0.2585 0.0655 0.9893
Rb1 0.5000 0.5000 0.0000
Rb2 0.0838 0.7972 0.3976
Rb3 0.5000 0.5000 0.5000
Rb4 0.9162 0.2028 0.6024
Re1 0.0040 0.2119 0.1437
Re2 0.4735 0.9906 0.1903
Re3 0.5265 0.0094 0.8097
Re4 0.9960 0.7881 0.8563

Calculated values
Size of the total moment, μB per formula unit: 1.00
Symmetry: P-1, No. 2



(4)
Computed, not measured: a geometry-optimized Sm2Ni2Cl structure at the PBE level of DFT.

abc: 3.9850 3.9850 8.0641
angles: 90.00 90.00 120.00
Fractional coordinates of all 5 atoms:
Cl1 0.6667 0.3333 0.0000
Ni1 0.6667 0.3333 0.5000
Ni2 0.3333 0.6667 0.5000
Sm1 0.0000 0.0000 0.2743
Sm2 0.0000 0.0000 0.7257

Calculated values
Size of the total moment, μB per formula unit: 0.00
Symmetry: P-6m2, No. 187



(5)
Computed, not measured: a geometry-optimized Zr6Ga2B structure at the PBE level of DFT.

abc: 7.4626 7.4626 3.6181
angles: 90.00 90.00 120.00
Fractional coordinates of all 9 atoms:
B1 0.0000 0.0000 0.0000
Ga1 0.6667 0.3333 0.5000
Ga2 0.3333 0.6667 0.5000
Zr1 0.6003 0.0000 0.0000
Zr2 0.3997 0.3997 0.0000
Zr3 0.0000 0.6003 0.0000
Zr4 0.2399 0.0000 0.5000
Zr5 0.0000 0.2399 0.5000
Zr6 0.7601 0.7601 0.5000

Calculated values
Size of the total moment, μB per formula unit: 0.19
Symmetry: P-62m, No. 189



(6)
Computed, not measured: a geometry-optimized Tb3Ni structure at the PBE level of DFT.

abc: 4.6472 4.6472 4.6472
angles: 90.00 90.00 90.00
Fractional coordinates of all 4 atoms:
Ni1 0.0000 0.0000 0.0000
Tb1 0.5000 0.5000 0.0000
Tb2 0.5000 0.0000 0.5000
Tb3 0.0000 0.5000 0.5000

Calculated values
Size of the total moment, μB per formula unit: 0.03
Symmetry: Pm-3m, No. 221
Energy of formation, meV/atom: 133



(7)
Computed, not measured: a geometry-optimized BaZrBeNi structure at the PBE level of DFT.

abc: 4.9782 4.9782 4.9782
angles: 60.00 60.00 60.00
Fractional coordinates of all 4 atoms:
Ba1 0.5000 0.5000 0.5000
Be1 0.7500 0.7500 0.7500
Ni1 0.2500 0.2500 0.2500
Zr1 0.0000 0.0000 0.0000

Calculated values
Size of the total moment, μB per formula unit: 0.03
Excess energy over the best structure of this formula in the dataset, meV/atom: 0
Symmetry: F-43m, No. 216



(8)
Computed, not measured: a geometry-optimized ErP2 structure at the PBE level of DFT.

abc: 8.7966 8.7966 8.7966
angles: 60.00 60.00 60.00
Fractional coordinates of all 6 atoms:
Er1 0.2500 0.2500 0.2500
Er2 0.5000 0.5000 0.5000
P1 0.8750 0.3750 0.3750
P2 0.3750 0.8750 0.3750
P3 0.3750 0.3750 0.3750
P4 0.3750 0.3750 0.8750

Calculated values
Size of the total moment, μB per formula unit: 3.00
Symmetry: Fd-3m, No. 227



(9)
Computed, not measured: a geometry-optimized KPuTa structure at the PBE level of DFT.

abc: 5.3812 5.3812 5.3812
angles: 60.00 60.00 60.00
Fractional coordinates of all 3 atoms:
K1 0.7500 0.7500 0.7500
Pu1 0.0000 0.0000 0.0000
Ta1 0.2500 0.2500 0.2500

Calculated values
Size of the total moment, μB per formula unit: 10.07
Symmetry: F-43m, No. 216



(10)
Computed, not measured: a geometry-optimized Hf2AlZn2Ga structure at the PBE level of DFT.

abc: 4.3219 4.3219 6.3357
angles: 90.00 90.00 120.00
Fractional coordinates of all 6 atoms:
Al1 0.0000 0.0000 0.0000
Ga1 0.3333 0.6667 0.5000
Hf1 0.6667 0.3333 0.2487
Hf2 0.6667 0.3333 0.7513
Zn1 0.3333 0.6667 0.0000
Zn2 0.0000 0.0000 0.5000

Calculated values
Size of the total moment, μB per formula unit: 0.00
Symmetry: P-6m2, No. 187



(11)
Computed, not measured: a geometry-optimized LiBeFeRe structure at the PBE level of DFT.

abc: 3.9737 3.9737 3.9737
angles: 60.00 60.00 60.00
Fractional coordinates of all 4 atoms:
Be1 0.2500 0.2500 0.2500
Fe1 0.0000 0.0000 0.0000
Li1 0.7500 0.7500 0.7500
Re1 0.5000 0.5000 0.5000

Calculated values
Size of the total moment, μB per formula unit: 3.21
Excess energy over the best structure of this formula in the dataset, meV/atom: 393
Symmetry: F-43m, No. 216



(12)
Computed, not measured: a geometry-optimized DyAlHg2 structure at the PBE level of DFT.

abc: 4.8705 6.5096 6.5096
angles: 60.82 90.00 90.00
Fractional coordinates of all 8 atoms:
Al1 0.5000 0.8524 0.2977
Al2 0.5000 0.2977 0.8524
Dy1 0.5000 0.3339 0.3339
Dy2 0.0000 0.6651 0.6651
Hg1 0.0000 0.1673 0.1673
Hg2 0.0000 0.6762 0.1772
Hg3 0.0000 0.1772 0.6762
Hg4 0.5000 0.8302 0.8302

Calculated values
Size of the total moment, μB per formula unit: 0.00
Symmetry: Amm2, No. 38



(13)
Computed, not measured: a geometry-optimized LiTa2Ge structure at the PBE level of DFT.

abc: 4.5266 4.5266 4.5266
angles: 60.00 60.00 60.00
Fractional coordinates of all 4 atoms:
Ge1 0.5000 0.5000 0.5000
Li1 0.2500 0.2500 0.2500
Ta1 0.0000 0.0000 0.0000
Ta2 0.7500 0.7500 0.7500

Calculated values
Size of the total moment, μB per formula unit: 0.09
Symmetry: F-43m, No. 216



(14)
Computed, not measured: a geometry-optimized NaAg3Te4Ir structure at the PBE level of DFT.

abc: 6.6278 6.6278 6.6278
angles: 90.00 90.00 90.00
Fractional coordinates of all 9 atoms:
Ag1 0.5000 0.5000 0.0000
Ag2 0.5000 0.0000 0.5000
Ag3 0.0000 0.5000 0.5000
Ir1 0.5000 0.5000 0.5000
Na1 0.0000 0.0000 0.0000
Te1 0.2726 0.2726 0.2726
Te2 0.7274 0.7274 0.2726
Te3 0.7274 0.2726 0.7274
Te4 0.2726 0.7274 0.7274

Calculated values
Size of the total moment, μB per formula unit: 0.05
Symmetry: P-43m, No. 215



(15)
Computed, not measured: a geometry-optimized LuThTe structure at the PBE level of DFT.

abc: 5.1650 5.1650 5.1650
angles: 60.00 60.00 60.00
Fractional coordinates of all 3 atoms:
Lu1 0.5000 0.5000 0.5000
Te1 0.2500 0.2500 0.2500
Th1 0.0000 0.0000 0.0000

Calculated values
Size of the total moment, μB per formula unit: 0.84
Excess energy over the best structure of this formula in the dataset, meV/atom: 0
Symmetry: F-43m, No. 216



(16)
Computed, not measured: a geometry-optimized NdReSn structure at the PBE level of DFT.

abc: 4.9336 4.9336 4.9336
angles: 60.00 60.00 60.00
Fractional coordinates of all 3 atoms:
Nd1 0.0000 0.0000 0.0000
Re1 0.2500 0.2500 0.2500
Sn1 0.7500 0.7500 0.7500

Calculated values
Size of the total moment, μB per formula unit: 1.61
Symmetry: F-43m, No. 216



(17)
Computed, not measured: a geometry-optimized Y3Mg3CuPd2 structure at the PBE level of DFT.

abc: 7.4530 7.4530 4.0391
angles: 90.00 90.00 120.00
Fractional coordinates of all 9 atoms:
Cu1 0.0000 0.0000 0.5000
Mg1 0.2444 0.0000 0.0000
Mg2 0.0000 0.2444 0.0000
Mg3 0.7556 0.7556 0.0000
Pd1 0.6667 0.3333 0.0000
Pd2 0.3333 0.6667 0.0000
Y1 0.5886 0.0000 0.5000
Y2 0.4114 0.4114 0.5000
Y3 0.0000 0.5886 0.5000

Calculated values
Size of the total moment, μB per formula unit: 0.00
Symmetry: P-62m, No. 189



(18)
Computed, not measured: a geometry-optimized YCuOsW structure at the PBE level of DFT.

abc: 4.5419 4.5419 4.5419
angles: 60.00 60.00 60.00
Fractional coordinates of all 4 atoms:
Cu1 0.7500 0.7500 0.7500
Os1 0.5000 0.5000 0.5000
W1 0.2500 0.2500 0.2500
Y1 0.0000 0.0000 0.0000

Calculated values
Size of the total moment, μB per formula unit: 0.00
Excess energy over the best structure of this formula in the dataset, meV/atom: 14
Symmetry: F-43m, No. 216
Energy of formation, meV/atom: 265



(19)
Computed, not measured: a geometry-optimized TbYSnPd2 structure at the PBE level of DFT.

abc: 3.5994 7.6139 7.6139
angles: 32.55 90.00 90.00
Fractional coordinates of all 5 atoms:
Pd1 0.0000 0.1908 0.1908
Pd2 0.0000 0.8102 0.8102
Sn1 0.0000 0.0004 0.0004
Tb1 0.5000 0.3684 0.3684
Y1 0.5000 0.6301 0.6301

Calculated values
Size of the total moment, μB per formula unit: 0.02
Symmetry: Amm2, No. 38



(20)
Computed, not measured: a geometry-optimized Dy2ThIr9 structure at the PBE level of DFT.

abc: 9.3234 9.3234 9.3234
angles: 33.25 33.25 33.25
Fractional coordinates of all 12 atoms:
Dy1 0.1404 0.1404 0.1404
Dy2 0.8596 0.8596 0.8596
Ir1 0.5826 0.5826 0.0830
Ir2 0.3331 0.3331 0.3331
Ir3 0.9170 0.4174 0.4174
Ir4 0.4174 0.9170 0.4174
Ir5 0.5000 0.5000 0.5000
Ir6 0.5826 0.0830 0.5826
Ir7 0.0830 0.5826 0.5826
Ir8 0.6669 0.6669 0.6669
Ir9 0.4174 0.4174 0.9170
Th1 0.0000 0.0000 0.0000

Calculated values
Size of the total moment, μB per formula unit: 0.02
Symmetry: R-3m, No. 166
Energy of formation, meV/atom: -647



(21)
Computed, not measured: a geometry-optimized HfNpBe structure at the PBE level of DFT.

abc: 4.3738 4.3738 4.3738
angles: 60.00 60.00 60.00
Fractional coordinates of all 3 atoms:
Be1 0.0000 0.0000 0.0000
Hf1 0.2500 0.2500 0.2500
Np1 0.7500 0.7500 0.7500

Calculated values
Size of the total moment, μB per formula unit: 4.15
Excess energy over the best structure of this formula in the dataset, meV/atom: 0
Symmetry: F-43m, No. 216



(22)
Computed, not measured: a geometry-optimized BiB4Pt structure at the PBE level of DFT.

abc: 3.1061 3.1061 8.5006
angles: 90.00 90.00 120.00
Fractional coordinates of all 6 atoms:
B1 0.6667 0.3333 0.2018
B2 0.3333 0.6667 0.2018
B3 0.6667 0.3333 0.7982
B4 0.3333 0.6667 0.7982
Bi1 0.0000 0.0000 0.5000
Pt1 0.0000 0.0000 0.0000

Calculated values
Size of the total moment, μB per formula unit: 0.00
Excess energy over the best structure of this formula in the dataset, meV/atom: 0
Symmetry: P6/mmm, No. 191



(23)
Computed, not measured: a geometry-optimized Li2Sc2GaSiNi2 structure at the PBE level of DFT.

abc: 4.2636 4.2636 6.0777
angles: 90.00 90.00 90.00
Fractional coordinates of all 8 atoms:
Ga1 0.0000 0.0000 0.0000
Li1 0.5000 0.0000 0.2539
Li2 0.0000 0.5000 0.7461
Ni1 0.0000 0.5000 0.2600
Ni2 0.5000 0.0000 0.7400
Sc1 0.5000 0.5000 0.0000
Sc2 0.0000 0.0000 0.5000
Si1 0.5000 0.5000 0.5000

Calculated values
Size of the total moment, μB per formula unit: 0.00
Symmetry: P-4m2, No. 115



(24)
Computed, not measured: a geometry-optimized AlCoAs structure at the PBE level of DFT.

abc: 4.0174 4.0174 4.0174
angles: 60.00 60.00 60.00
Fractional coordinates of all 3 atoms:
Al1 0.2500 0.2500 0.2500
As1 0.0000 0.0000 0.0000
Co1 0.7500 0.7500 0.7500

Calculated values
Size of the total moment, μB per formula unit: 0.20
Symmetry: F-43m, No. 216



(25)
Computed, not measured: a geometry-optimized Tm2LuIn3CuNi2 structure at the PBE level of DFT.

abc: 3.7936 7.3909 7.3909
angles: 119.99 90.00 90.00
Fractional coordinates of all 9 atoms:
Cu1 0.0000 0.9998 0.9998
In1 0.5000 0.2591 0.2591
In2 0.5000 0.9998 0.7411
In3 0.5000 0.7411 0.9998
Lu1 0.0000 0.5874 0.5874
Ni1 0.5000 0.6665 0.3336
Ni2 0.5000 0.3336 0.6665
Tm1 0.0000 0.4127 0.0000
Tm2 0.0000 0.0000 0.4127

Calculated values
Size of the total moment, μB per formula unit: 0.00
Symmetry: Amm2, No. 38



(26)
Computed, not measured: a geometry-optimized ZrHgSe2 structure at the PBE level of DFT.

abc: 9.6008 9.6008 9.6008
angles: 22.56 22.56 22.56
Fractional coordinates of all 4 atoms:
Hg1 0.5000 0.5000 0.5000
Se1 0.2757 0.2757 0.2757
Se2 0.7243 0.7243 0.7243
Zr1 0.0000 0.0000 0.0000

Calculated values
Size of the total moment, μB per formula unit: 0.00
Symmetry: R-3m, No. 166



(27)
Computed, not measured: a geometry-optimized AlCdTe2 structure at the PBE level of DFT.

abc: 5.2662 5.2662 5.2662
angles: 60.00 60.00 60.00
Fractional coordinates of all 4 atoms:
Al1 0.5000 0.5000 0.5000
Cd1 0.2500 0.2500 0.2500
Te1 0.0000 0.0000 0.0000
Te2 0.7500 0.7500 0.7500

Calculated values
Symmetry: F-43m, No. 216



Table of VASP energy (eV/atom), in record order: -5.079, -6.142, -7.150, -5.349, -7.537, -4.731, -4.347, -4.366, -6.976, -5.233, -6.162, -2.547, -7.288, -3.479, -5.256, -5.799, -4.777, -8.327, -5.997, -8.672, -8.143, -5.548, -5.064, -5.044, -4.536, -4.945, -2.474
Table of V (Å³ per atom), in record order: 22.8, 17.1, 16.3, 22.2, 19.4, 25.1, 21.8, 80.2, 36.7, 17.1, 11.1, 22.5, 16.4, 32.3, 32.5, 28.3, 21.6, 16.6, 22.5, 18.1, 19.7, 11.8, 13.8, 15.3, 19.9, 28.6, 25.8